DFT (GGA+U) results for an optimized crystal structure of NiO2.

Structure (POSCAR):
```
NiO2
1.0
2.8106 1.6227 4.8440
-2.8106 1.6227 4.8440
0.0000 -3.2453 4.8440
Ni O
4 8
Cartesian
0.0000 0.0000 0.0000 Ni
-1.3909 -0.8030 6.6221 Ni
1.3909 -0.8030 6.6221 Ni
0.0000 1.6060 6.6221 Ni
0.0000 -1.4413 7.6419 O
-1.2482 0.7206 7.6419 O
0.0000 0.0000 5.6454 O
-1.3196 -0.7619 10.4839 O
1.2482 0.7206 7.6419 O
0.0000 0.0000 12.4739 O
1.3196 -0.7619 10.4839 O
0.0000 1.5238 10.4839 O
```

- Space-group type: R3m (160)
- E: -13.28 eV/f.u.